Density functional theory data (PBE) for a geometry-optimized MgTlBF2 structure.

a = 3.7969 Å, b = 3.7969 Å, c = 5.6491 Å
α = 90.00°, β = 90.00°, γ = 90.00°
Last column: nearest neighbours and their distance in Å.
Space group P4/mmm (No. 123)
Inequivalent atoms, fractional coordinates:
Mg1 0.0000 0.0000 0.0000 [1 per cell]  4 F 1.90
Tl1 0.5000 0.5000 0.5000 [1 per cell]  4 B 2.68
B1 0.0000 0.0000 0.5000 [1 per cell]  4 Tl 2.68, 2 Mg 2.82
F1 0.0000 0.5000 0.0000 [2 per cell]  2 Mg 1.90

Calculated values
- ΔE_f (raw): -112 kJ per mole of atoms
- M_tot: 0.92 μB per formula unit